Mn2FeRe: relaxed, GGA-PBE.

a b c (Å): 8.433 8.433 8.433
angles (deg): 17.73 17.73 17.73
Last column: magnetic moment on the atom in μB.
Sites, in units of the cell vectors:
1 Mn 0.254 0.254 0.254  0.09
2 Re 0.500 0.500 0.500  -0.10
3 Mn 0.000 0.000 0.000  -0.20
4 Fe 0.746 0.746 0.746  1.47

E_form	18.5	kJ/mol of atoms
total moment	1.3	μB per formula unit